Record 1
Computed, not measured: a relaxed Rb2NaNdI6 crystal at the GGA-PBE level of DFT.

Unit cell a=8.478 b=8.966 c=14.728 alpha=90.00 beta=124.25 gamma=90.00
Fractional positions:
Rb  0.218  0.081  0.247
Rb  0.218  0.419  0.747
Rb  0.782  0.581  0.253
Rb  0.782  0.919  0.753
Na  0.000  0.000  0.500
Na  0.000  0.500  0.000
Nd  0.500  0.000  0.000
Nd  0.500  0.500  0.500
I  0.150  0.192  0.950
I  0.150  0.308  0.450
I  0.264  0.705  0.950
I  0.264  0.795  0.450
I  0.355  0.021  0.753
I  0.355  0.479  0.253
I  0.645  0.521  0.747
I  0.645  0.979  0.247
I  0.736  0.205  0.550
I  0.736  0.295  0.050
I  0.850  0.692  0.550
I  0.850  0.808  0.050

As for the formation energy without anion corrections: -1431 meV/atom. For the energy above the most stable polymorph in this dataset, the calculation gives 0 meV/atom. As for the crystal system: monoclinic. As for the electronic total energy: -3.16 eV/atom. The value obtained for the volume is 925.4 Å³/cell. The value obtained for the density of states at the Fermi level is 0.0 states/eV/f.u.

---

Record 2
Computed, not measured: a relaxed ScCdSbTe2 crystal at the GGA-PBE level of DFT.

Unit cell a=5.530 b=5.530 c=5.575 alpha=90.00 beta=90.00 gamma=90.00
Fractional positions:
Sc  0.000  0.000  0.000
Cd  0.500  0.500  0.500
Sb  0.000  0.000  0.500
Te  0.000  0.500  0.000
Te  0.500  0.000  0.000

As for the formation energy without anion corrections: -43 meV/atom. For the energy above the most stable polymorph in this dataset, the calculation gives 0 meV/atom. As for the crystal system: tetragonal. As for the electronic total energy: -3.57 eV/atom. The value obtained for the volume is 170.5 Å³/cell. The value obtained for the density of states at the Fermi level is 7.3 states/eV/f.u.

---

Record 3
Computed, not measured: a relaxed Li2UGeN4 crystal at the GGA-PBE level of DFT.

Unit cell a=7.655 b=7.655 c=8.110 alpha=90.00 beta=90.00 gamma=156.12
Fractional positions:
Li  0.081  0.919  0.578
Li  0.081  0.919  0.922
Li  0.919  0.081  0.078
Li  0.919  0.081  0.422
U  0.417  0.583  0.750
U  0.583  0.417  0.250
Ge  0.260  0.740  0.250
Ge  0.740  0.260  0.750
N  0.155  0.845  0.108
N  0.155  0.845  0.392
N  0.177  0.823  0.750
N  0.500  0.500  0.000
N  0.500  0.500  0.500
N  0.823  0.177  0.250
N  0.845  0.155  0.608
N  0.845  0.155  0.892

As for the formation energy without anion corrections: -274 meV/atom. As for the crystal system: orthorhombic. As for the electronic total energy: -6.90 eV/atom. The value obtained for the volume is 192.4 Å³/cell. The value obtained for the density of states at the Fermi level is 3.5 states/eV/f.u.